No. 1
Below is Y2ZrNbCd after structural relaxation, with properties calculated at the PBE-GGA level.

Cell: 5.593 5.593 4.929 Å, 90.00 90.00 90.00°
Space group P4/mmm (No. 123)
Unique sites:
Y: 0.000 0.500 0.000 [2 per cell]
Zr: 0.000 0.000 0.000 [1 per cell]
Nb: 0.000 0.000 0.500 [1 per cell]
Cd: 0.500 0.500 0.500 [1 per cell]

Results
- total magnetization (μB/f.u.) = 1.387
- N(E_F) (states/eV/f.u.) = 6.3
- formation enthalpy at 0 K (meV per atom) = 900

No. 2
Below is NbZnCd2 after structural relaxation, with properties calculated at the PBE-GGA level.

Cell: 4.151 4.151 4.300 Å, 90.00 90.00 90.00°
Space group P4/mmm (No. 123)
Unique sites:
Nb: 0.000 0.000 0.000 [1 per cell]
Zn: 0.500 0.500 0.000 [1 per cell]
Cd: 0.000 0.500 0.500 [2 per cell]

Results
- total magnetization (μB/f.u.) = 0.000
- N(E_F) (states/eV/f.u.) = 2.3
- formation enthalpy at 0 K (meV per atom) = 91

No. 3
Below is NbZnCd3 after structural relaxation, with properties calculated at the PBE-GGA level.

Cell: 5.677 5.677 5.677 Å, 90.00 90.00 90.00°
Space group Pm-3m (No. 221)
Unique sites:
Nb: 0.000 0.000 0.000 [1 per cell]
Zn: 0.500 0.500 0.500 [1 per cell]
Cd: 0.000 0.000 0.500 [3 per cell]

Results
- total magnetization (μB/f.u.) = 4.422
- N(E_F) (states/eV/f.u.) = 3.4
- formation enthalpy at 0 K (meV per atom) = 1033

No. 4
Below is NbZn2Cd2 after structural relaxation, with properties calculated at the PBE-GGA level.

Cell: 7.941 7.941 2.871 Å, 90.00 90.00 90.00°
Space group P4/mbm (No. 127)
Unique sites:
Nb: 0.000 0.000 0.000 [2 per cell]
Zn: 0.173 0.327 0.500 [4 per cell]
Cd: 0.129 0.629 0.000 [4 per cell]

Results
- total magnetization (μB/f.u.) = 0.000
- N(E_F) (states/eV/f.u.) = 2.6
- formation enthalpy at 0 K (meV per atom) = 269

No. 5
Below is NbZn2Cd2 after structural relaxation, with properties calculated at the PBE-GGA level.

Cell: 3.893 3.893 12.509 Å, 90.00 90.00 90.00°
Space group I4/mmm (No. 139)
Unique sites:
Nb: 0.000 0.000 0.000 [2 per cell]
Zn: 0.000 0.500 0.250 [4 per cell]
Cd: 0.000 0.000 0.395 [4 per cell]

Results
- total magnetization (μB/f.u.) = 0.000
- N(E_F) (states/eV/f.u.) = 3.7
- formation enthalpy at 0 K (meV per atom) = 445

No. 6
Below is NbZnCd2 after structural relaxation, with properties calculated at the PBE-GGA level.

Cell: 7.546 7.546 5.619 Å, 90.00 90.00 90.00°
Space group I-42d (No. 122)
Unique sites:
Nb: 0.000 0.000 0.000 [4 per cell]
Zn: 0.000 0.000 0.500 [4 per cell]
Cd: 0.224 0.250 0.625 [8 per cell]

Results
- total magnetization (μB/f.u.) = 0.970
- N(E_F) (states/eV/f.u.) = 1.7
- formation enthalpy at 0 K (meV per atom) = 500

No. 7
Below is NbZn3Cd after structural relaxation, with properties calculated at the PBE-GGA level.

Cell: 5.057 5.057 5.057 Å, 90.00 90.00 90.00°
Space group Pm-3m (No. 221)
Unique sites:
Nb: 0.000 0.000 0.000 [1 per cell]
Zn: 0.000 0.000 0.500 [3 per cell]
Cd: 0.500 0.500 0.500 [1 per cell]

Results
- total magnetization (μB/f.u.) = 0.001
- N(E_F) (states/eV/f.u.) = 6.9
- formation enthalpy at 0 K (meV per atom) = 971

No. 8
Below is NbZn2Cd2 after structural relaxation, with properties calculated at the PBE-GGA level.

Cell: 7.667 7.667 3.052 Å, 90.00 90.00 90.00°
Space group P4/mbm (No. 127)
Unique sites:
Nb: 0.000 0.000 0.000 [2 per cell]
Zn: 0.125 0.375 0.000 [4 per cell]
Cd: 0.176 0.676 0.500 [4 per cell]

Results
- total magnetization (μB/f.u.) = 0.000
- N(E_F) (states/eV/f.u.) = 4.0
- formation enthalpy at 0 K (meV per atom) = 202

No. 9
Below is NbZnCd3 after structural relaxation, with properties calculated at the PBE-GGA level.

Cell: 4.901 4.901 4.901 Å, 90.00 90.00 90.00°
Space group Pm-3m (No. 221)
Unique sites:
Nb: 0.000 0.000 0.000 [1 per cell]
Zn: 0.500 0.500 0.500 [1 per cell]
Cd: 0.000 0.500 0.500 [3 per cell]

Results
- total magnetization (μB/f.u.) = 2.295
- N(E_F) (states/eV/f.u.) = 5.0
- formation enthalpy at 0 K (meV per atom) = 870

No. 10
Below is NbZnCd2 after structural relaxation, with properties calculated at the PBE-GGA level.

Cell: 2.9413 2.9413 31.9259 Å, 90.00 90.00 120.00°
Space group R-3m (No. 166, hexagonal axes)
Unique sites:
Nb: 0.0000 0.0000 0.0000 [3 per cell]
Zn: 0.0000 0.0000 0.5000 [3 per cell]
Cd: 0.0000 0.0000 0.0915 [6 per cell]

Results
- total magnetization (μB/f.u.) = 0.000
- N(E_F) (states/eV/f.u.) = 1.8
- formation enthalpy at 0 K (meV per atom) = 398

No. 11
Below is ZrNbCd2 after structural relaxation, with properties calculated at the PBE-GGA level.

Cell: 6.908 6.908 6.908 Å, 90.00 90.00 90.00°
Space group Fm-3m (No. 225)
Unique sites:
Zr: 0.000 0.000 0.000 [4 per cell]
Nb: 0.000 0.000 0.500 [4 per cell]
Cd: 0.250 0.250 0.250 [8 per cell]

Results
- total magnetization (μB/f.u.) = 0.892
- N(E_F) (states/eV/f.u.) = 3.2
- formation enthalpy at 0 K (meV per atom) = 211

No. 12
Below is ZrNbCd after structural relaxation, with properties calculated at the PBE-GGA level.

Cell: 3.331 3.331 11.430 Å, 90.00 90.00 90.00°
Space group P4/nmm (No. 129, origin choice 2)
Unique sites:
Zr: 0.250 0.250 0.227 [2 per cell]
Nb: 0.250 0.250 0.934 [2 per cell]
Cd: 0.250 0.250 0.586 [2 per cell]

Results
- total magnetization (μB/f.u.) = 0.000
- N(E_F) (states/eV/f.u.) = 1.4
- formation enthalpy at 0 K (meV per atom) = -62